Density functional theory data (GGA-PBE) for crystalline Ta2PbAu at its relaxed geometry.

Values from the calculation:
energy relative to the elements	457	meV/atom
magnetic moment	0.0	μB/f.u.

a b c (Å): 3.6388 3.6388 5.9338
angles (deg): 90.00 90.00 90.00
Sites, in units of the cell vectors:
Au: 0.5000 0.5000 0.2500
Pb: 0.5000 0.5000 0.7500
Ta: 0.0000 0.0000 0.0168
Ta: 0.0000 0.0000 0.4832